The following is a PBE with a Hubbard U calculation of a relaxed Fe2Ru2O7 crystal, from Alexandria via LeMat-Bulk.

Cell and atoms, written as POSCAR:
```
Fe2Ru2O7
1.0
0.000 4.912 4.912
4.912 0.000 4.912
4.912 4.912 0.000
Fe Ru O
4 4 14
Direct
0.000 0.000 0.000 Fe
0.000 0.000 0.500 Fe
0.000 0.500 0.000 Fe
0.500 0.000 0.000 Fe
0.000 0.500 0.500 Ru
0.500 0.000 0.500 Ru
0.500 0.500 0.000 Ru
0.500 0.500 0.500 Ru
0.125 0.125 0.125 O
0.152 0.152 0.598 O
0.152 0.598 0.152 O
0.152 0.598 0.598 O
0.402 0.402 0.848 O
0.402 0.848 0.402 O
0.402 0.848 0.848 O
0.598 0.152 0.152 O
0.598 0.152 0.598 O
0.598 0.598 0.152 O
0.848 0.402 0.402 O
0.848 0.402 0.848 O
0.848 0.848 0.402 O
0.875 0.875 0.875 O
```

Computed properties:
The calculation puts the total energy at -6.8251 eV/atom. Its space-group type is No. 227. Its density of states at the Fermi level is 13.63 states/eV/cell.